# MoOs2Se (GGA-PBE, optimized geometry)
# ΔE_f (raw) (eV/atom): 0.34
# DFT total energy (eV/atom): -8.8502
# Total moment (μB/f.u.): 0.00
data_MoOs2Se
_chemical_formula_sum 'Mo2 Os4 Se2'
_cell_length_a 2.920
_cell_length_b 4.471
_cell_length_c 9.152
_cell_angle_alpha 90.00
_cell_angle_beta 90.00
_cell_angle_gamma 90.00
_space_group_name_H-M_alt 'I m m m'
_space_group_IT_number 71
_space_group_name_Hall '-I 2 2'
loop_
_atom_site_label
_atom_site_fract_x
_atom_site_fract_y
_atom_site_fract_z
_atom_site_occupancy
Mo1 0.000 0.000 0.000 1
Os1 0.000 0.500 0.227 1
Se1 0.000 0.000 0.500 1